Compound: MoAu3F
Source: the Alexandria database
Functional: PBE+U
Structure: relaxed

a b c (Å): 4.643 4.643 4.643
angles (deg): 90.00 90.00 90.00
Atoms (fractional coordinates):
1 Mo 0.000 0.000 0.000
2 Au 0.000 0.500 0.500
3 Au 0.500 0.000 0.500
4 Au 0.500 0.500 0.000
5 F 0.500 0.500 0.500

DOS at the Fermi energy in states/eV per cell: 2.8
Space-group type: Pm-3m (221)
Offset from the most stable computed form in meV per atom: 0.0